VASP calculation (GGA+U) on ScMnO3 after structural relaxation.

Geometry as extended XYZ:
```
20
Lattice="-2.537 -1.389 -4.095 4.663 -0.960 -2.564 -0.102 -7.012 2.441" Properties=species:S:1:pos:R:3 pbc="T T T"
O 0.344 -6.987 -3.116
O 0.309 -6.964 1.016
Mn -1.320 -4.200 -0.827
O 1.715 -2.397 -5.234
O -0.302 -1.745 -3.444
O -0.339 -4.270 -2.565
Mn 2.332 -0.480 -1.282
O 3.459 -3.157 -3.276
Sc 4.142 -6.188 -0.660
O 1.678 -4.922 -4.355
Sc -2.118 -3.174 -3.557
Mn 2.281 -3.986 -0.061
O -1.435 -6.204 -0.941
O 1.680 -2.374 -1.102
Sc 0.701 -6.315 -1.169
Mn -1.269 -0.695 -2.047
O 2.327 -7.616 -0.773
Sc 1.323 -3.046 -3.048
O 2.363 -5.091 -1.652
O 0.346 -4.439 0.137
```

Results
M_tot	2.0	μB/f.u.
density	4.9	g cm⁻³
raw total energy	-8.035	eV/atom